{"formula": "Ca4Al6CrO16", "functional": "PBE with a Hubbard U", "state": "relaxed", "magnetic_moment_mub_per_cell": 0.0, "final_energy_ev_per_atom": -7.17, "cell": [[-2.342, 7.454, 2.224], [-6.413, -3.919, -3.082], [2.874, -4.033, 6.439]], "species": ["O", "Ca", "Al", "Ca", "O", "O", "Al", "Al", "O", "O", "O", "O", "O", "Al", "Cr", "O", "O", "O", "O", "Al", "Ca", "O", "O", "Al", "O", "O", "Ca"], "fractional_positions": [[0.005, 0.721, 0.417], [0.988, 0.017, 0.552], [0.250, 0.750, 0.500], [0.565, 0.012, 0.030], [0.603, 0.618, 0.313], [0.246, 0.120, 0.163], [0.508, 0.244, 0.761], [0.253, 0.492, 0.736], [0.382, 0.695, 0.985], [0.304, 0.588, 0.583], [0.004, 0.371, 0.683], [0.880, 0.043, 0.126], [0.305, 0.290, 0.687], [0.483, 0.747, 0.239], [0.000, 0.000, 0.000], [0.957, 0.083, 0.837], [0.279, 0.696, 0.283], [0.917, 0.754, 0.874], [0.629, 0.312, 0.633], [0.756, 0.517, 0.264], [0.465, 0.435, 0.448], [0.710, 0.397, 0.015], [0.688, 0.321, 0.317], [0.750, 0.250, 0.500], [0.679, 0.996, 0.367], [0.412, 0.995, 0.717], [0.983, 0.535, 0.970]]}